1.
SrYTa2Os | PBE | optimized geometry

Results
Mass density: 9.25 g cm⁻³
Density of states at the Fermi level: 1.508 states/eV/atom
E: -6.61 eV/atom
Formation energy from the elements: 2.004 eV per atom
Symmetry: P4/mmm

a b c (Å): 5.0859 5.0564 5.0859
angles (deg): 90.00 90.00 90.00
Last column: nearest neighbours and their distance in Å.
Sites, in units of the cell vectors:
Y 0.0000 0.0000 0.0000  2 Os 2.53, 4 Ta 2.54
Ta 0.0000 0.0000 0.5000  2 Y 2.54
Ta 0.5000 0.0000 0.0000  2 Y 2.54
Sr 0.5000 0.5000 0.5000  8 Ta 3.59, 4 Os 3.60
Os 0.0000 0.5000 0.0000  2 Y 2.53

=====

2.
SrTcOs3 | PBE | optimized geometry

Results
Mass density: 12.19 g cm⁻³
Density of states at the Fermi level: 1.602 states/eV/atom
E: -5.22 eV/atom
Formation energy from the elements: 3.927 eV per atom
Relative energy among the computed polymorphs: 2470 meV per atom
Symmetry: Pm-3m

a b c (Å): 4.6883 4.6883 4.6883
angles (deg): 90.00 90.00 90.00
Last column: nearest neighbours and their distance in Å.
Sites, in units of the cell vectors:
Sr 0.0000 0.0000 0.0000  6 Os 2.34
Os 0.5000 0.0000 0.0000  2 Sr 2.34
Os 0.0000 0.5000 0.0000  2 Sr 2.34
Os 0.0000 0.0000 0.5000  2 Sr 2.34
Tc 0.5000 0.5000 0.5000  12 Os 3.32

=====

3.
SrTcOs3 | PBE | optimized geometry

Results
Mass density: 11.62 g cm⁻³
Density of states at the Fermi level: 1.106 states/eV/atom
E: -7.69 eV/atom
Formation energy from the elements: 1.457 eV per atom
Relative energy among the computed polymorphs: 0 meV per atom
Symmetry: Pm-3m

a b c (Å): 4.7630 4.7630 4.7630
angles (deg): 90.00 90.00 90.00
Last column: nearest neighbours and their distance in Å.
Sites, in units of the cell vectors:
Sr 0.5000 0.5000 0.5000  12 Os 3.37
Tc 0.0000 0.0000 0.0000  6 Os 2.38
Os 0.0000 0.5000 0.0000  2 Tc 2.38
Os 0.0000 0.0000 0.5000  2 Tc 2.38
Os 0.5000 0.0000 0.0000  2 Tc 2.38

=====

4.
SrTcOs4 | PBE | optimized geometry

Results
Mass density: 15.18 g cm⁻³
Density of states at the Fermi level: 1.413 states/eV/atom
E: -8.78 eV/atom
Formation energy from the elements: 0.717 eV per atom
Symmetry: F-43m

a b c (Å): 5.2705 5.2705 5.2705
angles (deg): 60.00 60.00 60.00
Last column: nearest neighbours and their distance in Å.
Sites, in units of the cell vectors:
Os 0.3747 0.3747 0.8760  6 Os 2.63-2.64
Os 0.3747 0.8760 0.3747  6 Os 2.63-2.64
Os 0.8760 0.3747 0.3747  6 Os 2.63-2.64
Os 0.3747 0.3747 0.3747  6 Os 2.63-2.64
Sr 0.7500 0.7500 0.7500  12 Os 3.09, 4 Tc 3.23
Tc 0.0000 0.0000 0.0000  12 Os 3.09, 4 Sr 3.23

=====

5.
SrTcTeOs2 | PBE | optimized geometry

Results
Mass density: 9.22 g cm⁻³
Density of states at the Fermi level: 1.702 states/eV/atom
Energy relative to the elements, uncorrected: 1640 kJ/mol of formula units
E: -4.13 eV/atom
Symmetry: P4/mmm

a b c (Å): 4.7706 5.4919 4.7706
angles (deg): 90.00 90.00 90.00
Last column: nearest neighbours and their distance in Å.
Sites, in units of the cell vectors:
Tc 0.5000 0.5000 0.5000  4 Te 3.37, 8 Os 3.64
Os 0.0000 0.0000 0.5000  2 Sr 2.39
Os 0.5000 0.0000 0.0000  2 Sr 2.39
Sr 0.0000 0.0000 0.0000  4 Os 2.39
Te 0.0000 0.5000 0.0000  2 Sr 2.75

=====

6.
SrTe2Os | PBE | optimized geometry

Results
Mass density: 8.41 g cm⁻³
Energy relative to the elements, uncorrected: -164 kJ/mol of formula units
E: -5.22 eV/atom
Relative energy among the computed polymorphs: 0 meV per atom
Symmetry: R-3m

a b c (Å): 4.2960 4.2960 7.0364
angles (deg): 72.23 72.23 60.00
Last column: nearest neighbours and their distance in Å.
Sites, in units of the cell vectors:
Te 0.0239 0.0239 0.9284  3 Os 2.74
Te 0.4761 0.4761 0.5716  3 Os 2.74
Os 0.7500 0.7500 0.7500  6 Te 2.74
Sr 0.2500 0.2500 0.2500  6 Te 3.26